Entry 1:
A geometry-optimized K2OsSe structure. Source: Alexandria via LeMat-Bulk, functional PBE-GGA.

a b c (Å): 6.2163 2.6705 6.6412
angles (deg): 90.00 90.12 90.00
Space group P2/m (No. 10)
Inequivalent atoms, fractional coordinates:
K 0.0000 0.0000 0.0000 [1 per cell]
K 0.5000 0.5000 0.5000 [1 per cell]
Os 0.0000 0.0000 0.5000 [1 per cell]
Se 0.5000 0.5000 0.0000 [1 per cell]

Results
E, eV/cell: -13.92
Formation energy from raw total energies, eV/atom: 0.747
Magnetic moment, Bohr magnetons per cell: 1.18


Entry 2:
A geometry-optimized CaMn2H7 structure. Source: Alexandria via LeMat-Bulk, functional PBE-GGA.

a b c (Å): 5.0383 8.7755 3.4801
angles (deg): 90.00 90.00 90.00
Space group Cmmm (No. 65)
Inequivalent atoms, fractional coordinates:
Ca 0.0000 0.0000 0.0000 [2 per cell]
Mn 0.0000 0.3118 0.5000 [4 per cell]
H 0.0000 0.3318 0.0000 [4 per cell]
H 0.0000 0.5000 0.5000 [2 per cell]
H 0.1779 0.1454 0.5000 [8 per cell]

Results
E, eV/cell: -90.16
Magnetic moment, Bohr magnetons per cell: 9.22


Entry 3:
A geometry-optimized Ta2IrRu structure. Source: Alexandria via LeMat-Bulk, functional PBE-GGA.

a b c (Å): 5.7917 5.7917 11.4111
angles (deg): 90.00 90.00 90.00
Space group I-42d (No. 122)
Inequivalent atoms, fractional coordinates:
Ta 0.2463 0.2500 0.1250 [8 per cell]
Ir 0.0000 0.0000 0.5000 [4 per cell]
Ru 0.0000 0.0000 0.0000 [4 per cell]

Results
DFT formation energy, eV/atom: 0.84
E, eV/cell: -153.91
Magnetic moment, Bohr magnetons per cell: 0.00


Entry 4:
A geometry-optimized DyIn3Hg structure. Source: Alexandria via LeMat-Bulk, functional PBE-GGA.

a b c (Å): 9.5307 10.9479 5.6718
angles (deg): 90.00 90.00 90.00
Space group Cmcm (No. 63)
Inequivalent atoms, fractional coordinates:
Dy 0.0000 0.2270 0.2500 [4 per cell]
In 0.0000 0.5000 0.0000 [4 per cell]
In 0.1733 0.2993 0.7500 [8 per cell]
Hg 0.0000 0.0573 0.7500 [4 per cell]

Results
DFT formation energy, eV/atom: -0.08
E, eV/cell: -54.11
Magnetic moment, Bohr magnetons per cell: 0.00


Entry 5:
A geometry-optimized MoPb2Cl structure. Source: Alexandria via LeMat-Bulk, functional PBE-GGA.

a b c (Å): 6.3315 6.3315 14.2899
angles (deg): 90.00 90.00 90.00
Space group I-42d (No. 122)
Inequivalent atoms, fractional coordinates:
Mo 0.0000 0.0000 0.0000 [4 per cell]
Pb 0.1976 0.2500 0.1250 [8 per cell]
Cl 0.0000 0.0000 0.5000 [4 per cell]

Results
E, eV/cell: -68.04
Formation energy from raw total energies, eV/atom: 0.771
Polymorph energy (0 for the lowest one), eV per atom: 0.543
Magnetic moment, Bohr magnetons per cell: 3.96


Entry 6:
A geometry-optimized CsMgZn2Rh structure. Source: Alexandria via LeMat-Bulk, functional PBE-GGA.

a b c (Å): 5.0779 5.0779 5.1084
angles (deg): 90.00 90.00 90.00
Space group P4/mmm (No. 123)
Inequivalent atoms, fractional coordinates:
Cs 0.0000 0.0000 0.0000 [1 per cell]
Mg 0.5000 0.5000 0.0000 [1 per cell]
Zn 0.0000 0.5000 0.5000 [2 per cell]
Rh 0.5000 0.5000 0.5000 [1 per cell]

Results
DFT formation energy, eV/atom: -0.07
E, eV/cell: -12.70
Magnetic moment, Bohr magnetons per cell: 0.00


Entry 7:
A geometry-optimized TbPa2Fe9 structure. Source: Alexandria via LeMat-Bulk, functional PBE-GGA.

a b c (Å): 5.0079 5.0079 24.5631
angles (deg): 90.00 90.00 120.00
Space group R-3m (No. 166, hexagonal axes)
Inequivalent atoms, fractional coordinates:
Tb 0.0000 0.0000 0.0000 [3 per cell]
Pa 0.0000 0.0000 0.1426 [6 per cell]
Fe 0.0000 0.0000 0.3332 [6 per cell]
Fe 0.0000 0.0000 0.5000 [3 per cell]
Fe 0.9996 0.4998 0.0822 [18 per cell]

Results
DFT formation energy, eV/atom: -0.12
E, eV/cell: -303.74
Magnetic moment, Bohr magnetons per cell: 46.45


Entry 8:
A geometry-optimized RbTiFe2Sb structure. Source: Alexandria via LeMat-Bulk, functional PBE-GGA.

a b c (Å): 4.9854 4.9854 5.3167
angles (deg): 90.00 90.00 90.00
Space group P4/mmm (No. 123)
Inequivalent atoms, fractional coordinates:
Rb 0.0000 0.0000 0.0000 [1 per cell]
Ti 0.5000 0.5000 0.0000 [1 per cell]
Fe 0.0000 0.5000 0.5000 [2 per cell]
Sb 0.5000 0.5000 0.5000 [1 per cell]

Results
E, eV/cell: -24.37
Formation energy from raw total energies, eV/atom: 1.108
Magnetic moment, Bohr magnetons per cell: 5.96


Entry 9:
A geometry-optimized YTaW2 structure. Source: Alexandria via LeMat-Bulk, functional PBE-GGA.

a b c (Å): 3.9994 3.9994 4.7886
angles (deg): 90.00 90.00 90.00
Space group P4/mmm (No. 123)
Inequivalent atoms, fractional coordinates:
Y 0.0000 0.0000 0.0000 [1 per cell]
Ta 0.5000 0.5000 0.0000 [1 per cell]
W 0.0000 0.5000 0.5000 [2 per cell]

Results
DFT formation energy, eV/atom: 0.74
E, eV/cell: -41.25
Polymorph energy (0 for the lowest one), eV per atom: 0.437
Magnetic moment, Bohr magnetons per cell: 0.00


Entry 10:
A geometry-optimized YIn structure. Source: Alexandria via LeMat-Bulk, functional PBE-GGA.

a b c (Å): 7.7313 9.9216 12.2041
angles (deg): 90.00 90.00 90.00
Space group Fddd (No. 70, origin choice 2)
Inequivalent atoms, fractional coordinates:
Y 0.1250 0.3296 0.1250 [16 per cell]
In 0.0600 0.3750 0.8750 [16 per cell]

Results
DFT formation energy, eV/atom: -0.31
E, eV/cell: -157.30
Magnetic moment, Bohr magnetons per cell: 0.00


Entry 11:
A geometry-optimized Sr5ReN6 structure. Source: Alexandria via LeMat-Bulk, functional PBE-GGA.

a b c (Å): 6.2367 10.8374 6.1661
angles (deg): 90.00 109.77 90.00
Space group C2/m (No. 12)
Inequivalent atoms, fractional coordinates:
Sr 0.0000 0.0000 0.0000 [2 per cell]
Sr 0.0000 0.1667 0.5000 [4 per cell]
Sr 0.0000 0.3396 0.0000 [4 per cell]
Re 0.0000 0.5000 0.5000 [2 per cell]
N 0.2033 0.5000 0.2924 [4 per cell]
N 0.2051 0.3652 0.7096 [8 per cell]

Results
E, eV/cell: -151.95
Formation energy from raw total energies, eV/atom: -0.430
Magnetic moment, Bohr magnetons per cell: 2.03


Entry 12:
A geometry-optimized CsSnBi structure. Source: Alexandria via LeMat-Bulk, functional PBE-GGA.

a b c (Å): 5.8768 5.8768 3.7867
angles (deg): 90.00 90.00 120.00
Space group P-6m2 (No. 187)
Inequivalent atoms, fractional coordinates:
Cs 0.0000 0.0000 0.0000 [1 per cell]
Sn 0.3333 0.6667 0.5000 [1 per cell]
Bi 0.6667 0.3333 0.5000 [1 per cell]

Results
DFT formation energy, eV/atom: -0.10
E, eV/cell: -9.03
Magnetic moment, Bohr magnetons per cell: 0.00


Entry 13:
A geometry-optimized Pa3Si3Tc structure. Source: Alexandria via LeMat-Bulk, functional PBE-GGA.

a b c (Å): 10.3926 4.2425 13.6375
angles (deg): 90.00 111.24 90.00
Space group C2/m (No. 12)
Inequivalent atoms, fractional coordinates:
Pa 0.0232 0.0000 0.3713 [4 per cell]
Pa 0.0968 0.0000 0.9215 [4 per cell]
Pa 0.2469 0.5000 0.7766 [4 per cell]
Si 0.0531 0.5000 0.2344 [4 per cell]
Si 0.1189 0.5000 0.0750 [4 per cell]
Si 0.1284 0.5000 0.5483 [4 per cell]
Tc 0.2427 0.5000 0.4142 [4 per cell]

Results
E, eV/cell: -235.54
Formation energy from raw total energies, eV/atom: -0.537
Magnetic moment, Bohr magnetons per cell: 0.00


Entry 14:
A geometry-optimized Cs2Np2CdS6 structure. Source: Alexandria via LeMat-Bulk, functional PBE-GGA.

a b c (Å): 6.8752 12.0778 8.5388
angles (deg): 90.00 104.64 90.00
Space group C2/m (No. 12)
Inequivalent atoms, fractional coordinates:
Cs 0.0000 0.1614 0.0000 [4 per cell]
Np 0.0000 0.3342 0.5000 [4 per cell]
Cd 0.0000 0.0000 0.5000 [2 per cell]
S 0.2144 0.5000 0.6755 [4 per cell]
S 0.2291 0.1752 0.6777 [8 per cell]

Results
E, eV/cell: -132.75
Formation energy from raw total energies, eV/atom: -1.191
Magnetic moment, Bohr magnetons per cell: 12.00


Entry 15:
A geometry-optimized Ba2ScHgO structure. Source: Alexandria via LeMat-Bulk, functional PBE-GGA.

a b c (Å): 5.9765 5.9765 4.1215
angles (deg): 90.00 90.00 90.00
Space group P4/mmm (No. 123)
Inequivalent atoms, fractional coordinates:
Ba 0.0000 0.5000 0.0000 [2 per cell]
Sc 0.0000 0.0000 0.5000 [1 per cell]
Hg 0.5000 0.5000 0.5000 [1 per cell]
O 0.0000 0.0000 0.0000 [1 per cell]

Results
E, eV/cell: -21.62
Formation energy from raw total energies, eV/atom: -1.236
Magnetic moment, Bohr magnetons per cell: 0.00


Entry 16:
A geometry-optimized NdEuAu4 structure. Source: Alexandria via LeMat-Bulk, functional PBE-GGA.

a b c (Å): 8.1493 8.1493 8.1493
angles (deg): 90.00 90.00 90.00
Space group F-43m (No. 216)
Inequivalent atoms, fractional coordinates:
Nd 0.0000 0.0000 0.0000 [4 per cell]
Eu 0.2500 0.2500 0.7500 [4 per cell]
Au 0.1248 0.1248 0.3752 [16 per cell]

Results
DFT formation energy, eV/atom: -0.54
E, eV/cell: -125.66
Magnetic moment, Bohr magnetons per cell: 28.83


Entry 17:
A geometry-optimized SrIn3 structure. Source: Alexandria via LeMat-Bulk, functional PBE-GGA.

a b c (Å): 4.4938 4.4938 7.7855
angles (deg): 90.00 90.00 120.00
Space group P-6m2 (No. 187)
Inequivalent atoms, fractional coordinates:
Sr 0.0000 0.0000 0.0000 [1 per cell]
In 0.0000 0.0000 0.5000 [1 per cell]
In 0.3333 0.6667 0.2998 [2 per cell]

Results
DFT formation energy, eV/atom: -0.17
E, eV/cell: -10.56
Magnetic moment, Bohr magnetons per cell: 0.00


Entry 18:
A geometry-optimized ZrMo2W structure. Source: Alexandria via LeMat-Bulk, functional PBE-GGA.

a b c (Å): 3.0662 3.0662 26.1995
angles (deg): 90.00 90.00 120.00
Space group R-3m (No. 166, hexagonal axes)
Inequivalent atoms, fractional coordinates:
Zr 0.0000 0.0000 0.0000 [3 per cell]
Mo 0.0000 0.0000 0.2441 [6 per cell]
W 0.0000 0.0000 0.5000 [3 per cell]

Results
DFT formation energy, eV/atom: 0.33
E, eV/cell: -125.53
Polymorph energy (0 for the lowest one), eV per atom: 0.360
Magnetic moment, Bohr magnetons per cell: 0.00


Entry 19:
A geometry-optimized Cu2TeSe structure. Source: Alexandria via LeMat-Bulk, functional PBE-GGA.

a b c (Å): 6.6479 6.6479 6.6479
angles (deg): 90.00 90.00 90.00
Space group Fm-3m (No. 225)
Inequivalent atoms, fractional coordinates:
Cu 0.2500 0.2500 0.2500 [8 per cell]
Te 0.0000 0.0000 0.0000 [4 per cell]
Se 0.0000 0.0000 0.5000 [4 per cell]

Results
E, eV/cell: -53.13
Formation energy from raw total energies, eV/atom: 0.384
Polymorph energy (0 for the lowest one), eV per atom: 0.467
Magnetic moment, Bohr magnetons per cell: 0.00


Entry 20:
A geometry-optimized LaYRu2 structure. Source: Alexandria via LeMat-Bulk, functional PBE-GGA.

a b c (Å): 4.7687 4.7687 16.9140
angles (deg): 90.00 90.00 90.00
Space group I-42d (No. 122)
Inequivalent atoms, fractional coordinates:
La 0.0000 0.0000 0.0000 [4 per cell]
Y 0.0000 0.0000 0.5000 [4 per cell]
Ru 0.2128 0.2500 0.1250 [8 per cell]

Results
DFT formation energy, eV/atom: 0.55
E, eV/cell: -110.99
Magnetic moment, Bohr magnetons per cell: 0.00


Entry 21:
A geometry-optimized Na2NdTlSe4 structure. Source: Alexandria via LeMat-Bulk, functional PBE-GGA.

a b c (Å): 7.3248 4.1929 7.5411
angles (deg): 90.00 109.54 90.00
Space group P2/m (No. 10)
Inequivalent atoms, fractional coordinates:
Na 0.0000 0.0000 0.0000 [1 per cell]
Na 0.5000 0.5000 0.0000 [1 per cell]
Nd 0.0000 0.5000 0.5000 [1 per cell]
Tl 0.5000 0.0000 0.5000 [1 per cell]
Se 0.2399 0.0000 0.7442 [2 per cell]
Se 0.2695 0.5000 0.2725 [2 per cell]

Results
E, eV/cell: -32.30
Formation energy from raw total energies, eV/atom: -1.073
Magnetic moment, Bohr magnetons per cell: 0.00


Entry 22:
A geometry-optimized LaPr3Tl4 structure. Source: Alexandria via LeMat-Bulk, functional PBE-GGA.

a b c (Å): 3.7604 7.5154 18.8074
angles (deg): 90.00 90.00 90.00
Space group Immm (No. 71)
Inequivalent atoms, fractional coordinates:
La 0.0000 0.0000 0.0000 [2 per cell]
Pr 0.0000 0.0000 0.5000 [2 per cell]
Pr 0.0000 0.5000 0.2869 [4 per cell]
Tl 0.0000 0.2936 0.1288 [8 per cell]

Results
DFT formation energy, eV/atom: -0.26
E, eV/cell: -61.55
Polymorph energy (0 for the lowest one), eV per atom: 0.148
Magnetic moment, Bohr magnetons per cell: 0.41


Entry 23:
A geometry-optimized LiLaTl2Br6 structure. Source: Alexandria via LeMat-Bulk, functional PBE-GGA.

a b c (Å): 7.6842 8.0511 13.3474
angles (deg): 90.00 124.49 90.00
Space group P2_1/c (No. 14)
Inequivalent atoms, fractional coordinates:
Li 0.0000 0.0000 0.0000 [2 per cell]
La 0.5000 0.0000 0.5000 [2 per cell]
Tl 0.2222 0.0742 0.7458 [4 per cell]
Br 0.1418 0.2048 0.4514 [4 per cell]
Br 0.2488 0.6965 0.4514 [4 per cell]
Br 0.3390 0.0209 0.2410 [4 per cell]

Results
E, eV/cell: -72.07
Formation energy from raw total energies, eV/atom: -1.442
Magnetic moment, Bohr magnetons per cell: 0.00